Sr2EuCrO6, relaxed, DFT PBE with a Hubbard U; total energy = -7.335 eV/atom; crystal system = cubic
1.0
0.0000 4.1212 4.1212
4.1212 0.0000 4.1212
4.1212 4.1212 0.0000
Sr Eu Cr O
2 1 1 6
Cartesian
2.0606 2.0606 2.0606
6.1818 6.1818 6.1818
0.0000 0.0000 0.0000
4.1212 4.1212 4.1212
4.1212 4.1212 2.2305
4.1212 2.2305 4.1212
6.0119 4.1212 4.1212
2.2305 4.1212 4.1212
4.1212 6.0119 4.1212
4.1212 4.1212 6.0119